# GGA-PBE KSrPrBiO6, optimized geometry
# **Raw formation energy**: -18.50 eV/f.u.
# **Total DFT energy (no corrections)**: -5.97 eV/atom
# **Calculated density**: 5.4 Mg/m³
data_KSrPrBiO6
_chemical_formula_sum 'K4 Sr4 Pr4 Bi4 O24'
_space_group_name_H-M_alt 'F -4 3 m'
_space_group_IT_number 216
_space_group_name_Hall 'F -4 2 3'
_cell_length_a 8.8764
_cell_length_b 8.8764
_cell_length_c 8.8764
_cell_angle_alpha 90.00
_cell_angle_beta 90.00
_cell_angle_gamma 90.00
loop_
_atom_site_label
_atom_site_type_symbol
_atom_site_fract_x
_atom_site_fract_y
_atom_site_fract_z
K1 K 0.0000 0.0000 0.0000
Sr1 Sr 0.0000 0.0000 0.5000
Pr1 Pr 0.2500 0.2500 0.2500
Bi1 Bi 0.2500 0.2500 0.7500
O1 O 0.0118 0.2500 0.7500

***

# GGA-PBE Pm2PuU2Ru5, optimized geometry
# **Total DFT energy (no corrections)**: -9.45 eV/atom
# **Calculated density**: 12.3 Mg/m³
data_Pm2PuU2Ru5
_chemical_formula_sum 'Pm4 Pu2 U4 Ru10'
_space_group_name_H-M_alt 'P 4/m b m'
_space_group_IT_number 127
_space_group_name_Hall '-P 4 2ab'
_cell_length_a 10.7074
_cell_length_b 10.7074
_cell_length_c 3.5678
_cell_angle_alpha 90.00
_cell_angle_beta 90.00
_cell_angle_gamma 90.00
loop_
_atom_site_label
_atom_site_type_symbol
_atom_site_fract_x
_atom_site_fract_y
_atom_site_fract_z
Pm1 Pm 0.1753 0.3247 0.0000
Pu1 Pu 0.0000 0.0000 0.0000
U1 U 0.1361 0.6361 0.0000
Ru1 Ru 0.0000 0.5000 0.5000
Ru2 Ru 0.0500 0.7908 0.5000

***

# GGA-PBE Pm2ReAgO8, optimized geometry
# **Raw formation energy**: -23.78 eV/f.u.
# **Total DFT energy (no corrections)**: -7.35 eV/atom
# **Calculated density**: 7.0 Mg/m³
data_Pm2ReAgO8
_chemical_formula_sum 'Pm2 Re1 Ag1 O8'
_space_group_name_H-M_alt 'P -1'
_space_group_IT_number 2
_cell_length_a 4.6676
_cell_length_b 5.1016
_cell_length_c 7.1420
_cell_angle_alpha 85.04
_cell_angle_beta 89.35
_cell_angle_gamma 84.94
loop_
_space_group_symop_operation_xyz
'x,y,z'
'-x,-y,-z'
loop_
_atom_site_label
_atom_site_type_symbol
_atom_site_fract_x
_atom_site_fract_y
_atom_site_fract_z
Pm1 Pm 0.1043 0.4988 0.2512
Re1 Re 0.5000 0.0000 0.5000
Ag1 Ag 0.5000 0.0000 0.0000
O1 O 0.1728 0.2273 0.5396
O2 O 0.2141 0.3175 0.9747
O3 O 0.3286 0.9032 0.2635
O4 O 0.3491 0.7220 0.6427

***

# GGA-PBE Pr2GeCl, optimized geometry
# **Raw formation energy**: -4.11 eV/f.u.
# **Total DFT energy (no corrections)**: -5.03 eV/atom
# **Offset from the most stable computed form**: 237 meV per atom
# **Calculated density**: 6.5 Mg/m³
data_Pr2GeCl
_chemical_formula_sum 'Pr2 Ge1 Cl1'
_space_group_name_H-M_alt 'P 4/m m m'
_space_group_IT_number 123
_space_group_name_Hall '-P 4 2'
_cell_length_a 3.5512
_cell_length_b 3.5512
_cell_length_c 7.9407
_cell_angle_alpha 90.00
_cell_angle_beta 90.00
_cell_angle_gamma 90.00
loop_
_atom_site_label
_atom_site_type_symbol
_atom_site_fract_x
_atom_site_fract_y
_atom_site_fract_z
Pr1 Pr 0.0000 0.0000 0.2354
Ge1 Ge 0.5000 0.5000 0.0000
Cl1 Cl 0.5000 0.5000 0.5000

***

# GGA-PBE Ca3GePd9Au2, optimized geometry
# **Total DFT energy (no corrections)**: -4.44 eV/atom
# **Calculated density**: 7.4 Mg/m³
data_Ca3GePd9Au2
_chemical_formula_sum 'Ca3 Ge1 Pd9 Au2'
_space_group_name_H-M_alt 'P -3 m 1'
_space_group_IT_number 164
_space_group_name_Hall '-P 3 2"'
_cell_length_a 7.0315
_cell_length_b 7.0315
_cell_length_c 8.0754
_cell_angle_alpha 90.00
_cell_angle_beta 90.00
_cell_angle_gamma 120.00
loop_
_atom_site_label
_atom_site_type_symbol
_atom_site_fract_x
_atom_site_fract_y
_atom_site_fract_z
Ca1 Ca 0.0000 0.0000 0.0000
Ca2 Ca 0.3333 0.6667 0.7123
Ge1 Ge 0.0000 0.0000 0.5000
Pd1 Pd 0.0000 0.5000 0.0000
Pd2 Pd 0.1305 0.2610 0.2791
Au1 Au 0.3333 0.6667 0.2254

***

# GGA-PBE PaTi2Pb, optimized geometry
# **Total DFT energy (no corrections)**: -7.17 eV/atom
# **Offset from the most stable computed form**: 91 meV per atom
# **Calculated density**: 10.9 Mg/m³
data_PaTi2Pb
_chemical_formula_sum 'Pa4 Ti8 Pb4'
_space_group_name_H-M_alt 'F m -3 m'
_space_group_IT_number 225
_space_group_name_Hall '-F 4 2 3'
_cell_length_a 6.8826
_cell_length_b 6.8826
_cell_length_c 6.8826
_cell_angle_alpha 90.00
_cell_angle_beta 90.00
_cell_angle_gamma 90.00
loop_
_atom_site_label
_atom_site_type_symbol
_atom_site_fract_x
_atom_site_fract_y
_atom_site_fract_z
Pa1 Pa 0.0000 0.0000 0.0000
Ti1 Ti 0.2500 0.2500 0.2500
Pb1 Pb 0.0000 0.0000 0.5000

***

# GGA-PBE Sr2PtN2, optimized geometry
# **Raw formation energy**: -0.32 eV/f.u.
# **Total DFT energy (no corrections)**: -5.28 eV/atom
# **Calculated density**: 8.1 Mg/m³
data_Sr2PtN2
_chemical_formula_sum 'Sr4 Pt2 N4'
_space_group_name_H-M_alt 'P 4/m b m'
_space_group_IT_number 127
_space_group_name_Hall '-P 4 2ab'
_cell_length_a 6.5935
_cell_length_b 6.5935
_cell_length_c 3.7691
_cell_angle_alpha 90.00
_cell_angle_beta 90.00
_cell_angle_gamma 90.00
loop_
_atom_site_label
_atom_site_type_symbol
_atom_site_fract_x
_atom_site_fract_y
_atom_site_fract_z
Sr1 Sr 0.1532 0.3468 0.0000
Pt1 Pt 0.0000 0.0000 0.5000
N1 N 0.1649 0.6649 0.5000

***

# GGA-PBE ErNiPt, optimized geometry
# **Total DFT energy (no corrections)**: -5.82 eV/atom
# **Calculated density**: 12.0 Mg/m³
data_ErNiPt
_chemical_formula_sum 'Er16 Ni16 Pt16'
_space_group_name_H-M_alt 'F d d d'
_space_group_IT_number 70
_cell_length_a 7.4451
_cell_length_b 10.3234
_cell_length_c 12.1562
_cell_angle_alpha 90.00
_cell_angle_beta 90.00
_cell_angle_gamma 90.00
loop_
_space_group_symop_operation_xyz
'x,y,z'
'-x,-y,-z'
'-x+1/4,-y+1/4,z'
'x+1/4,y+1/4,-z'
'x,-y+1/4,-z+1/4'
'-x,y+1/4,z+1/4'
'-x+1/4,y,-z+1/4'
'x+1/4,-y,z+1/4'
'x,y+1/2,z+1/2'
'-x,-y+1/2,-z+1/2'
'-x+1/4,-y+3/4,z+1/2'
'x+1/4,y+3/4,-z+1/2'
'x,-y+3/4,-z+3/4'
'-x,y+3/4,z+3/4'
'-x+1/4,y+1/2,-z+3/4'
'x+1/4,-y+1/2,z+3/4'
'x+1/2,y,z+1/2'
'-x+1/2,-y,-z+1/2'
'-x+3/4,-y+1/4,z+1/2'
'x+3/4,y+1/4,-z+1/2'
'x+1/2,-y+1/4,-z+3/4'
'-x+1/2,y+1/4,z+3/4'
'-x+3/4,y,-z+3/4'
'x+3/4,-y,z+3/4'
'x+1/2,y+1/2,z'
'-x+1/2,-y+1/2,-z'
'-x+3/4,-y+3/4,z'
'x+3/4,y+3/4,-z'
'x+1/2,-y+3/4,-z+1/4'
'-x+1/2,y+3/4,z+1/4'
'-x+3/4,y+1/2,-z+1/4'
'x+3/4,-y+1/2,z+1/4'
loop_
_atom_site_label
_atom_site_type_symbol
_atom_site_fract_x
_atom_site_fract_y
_atom_site_fract_z
Er1 Er 0.0000 0.0000 0.0000
Ni1 Ni 0.1250 0.1250 0.4500
Pt1 Pt 0.1250 0.2573 0.6250